Record 1
CePrSm2In4 after structural relaxation, computed with PBE.

* DFT formation energy: -447 meV per atom
* DFT total energy: -34.7 eV/cell
* crystal system: trigonal
* calculated density: 7.5 g/cm3

Cell: 9.4646 9.4646 9.4646 Å, 33.51 33.51 33.51°
Element x y z (fractional)
Ce 0.0000 0.0000 0.0000
Pr 0.5000 0.5000 0.5000
Sm 0.2499 0.2499 0.2499
Sm 0.7501 0.7501 0.7501
In 0.1247 0.1247 0.1247
In 0.3747 0.3747 0.3747
In 0.6253 0.6253 0.6253
In 0.8753 0.8753 0.8753

=====

Record 2
TbCePrIn after structural relaxation, computed with PBE.

* DFT formation energy: -87 meV per atom
* DFT total energy: -18.4 eV/cell
* crystal system: cubic
* calculated density: 7.6 g/cm3

Cell: 5.5505 5.5505 5.5505 Å, 60.00 60.00 60.00°
Element x y z (fractional)
Tb 0.0000 0.0000 0.0000
Ce 0.7500 0.7500 0.7500
Pr 0.2500 0.2500 0.2500
In 0.5000 0.5000 0.5000

=====

Record 3
CePrTm2In4 after structural relaxation, computed with PBE.

* DFT formation energy: -421 meV per atom
* DFT total energy: -34.0 eV/cell
* crystal system: trigonal
* calculated density: 8.1 g/cm3

Cell: 9.3317 9.3317 9.3317 Å, 33.47 33.47 33.47°
Element x y z (fractional)
Ce 0.0000 0.0000 0.0000
Pr 0.5000 0.5000 0.5000
Tm 0.2501 0.2501 0.2501
Tm 0.7499 0.7499 0.7499
In 0.1246 0.1246 0.1246
In 0.3746 0.3746 0.3746
In 0.6254 0.6254 0.6254
In 0.8754 0.8754 0.8754

=====

Record 4
Ce2PrTmIn4 after structural relaxation, computed with PBE.

* DFT formation energy: -387 meV per atom
* DFT total energy: -35.2 eV/cell
* crystal system: trigonal
* calculated density: 7.7 g/cm3

Cell: 9.4352 9.4352 9.4352 Å, 33.39 33.39 33.39°
Element x y z (fractional)
Ce 0.2486 0.2486 0.2486
Ce 0.7514 0.7514 0.7514
Pr 0.0000 0.0000 0.0000
Tm 0.5000 0.5000 0.5000
In 0.1265 0.1265 0.1265
In 0.3769 0.3769 0.3769
In 0.6231 0.6231 0.6231
In 0.8735 0.8735 0.8735

=====

Record 5
CePrTmIn after structural relaxation, computed with PBE.

* DFT formation energy: -68 meV per atom
* DFT total energy: -18.2 eV/cell
* crystal system: cubic
* calculated density: 8.2 g/cm3

Cell: 5.4521 5.4521 5.4521 Å, 60.00 60.00 60.00°
Element x y z (fractional)
Ce 0.0000 0.0000 0.0000
Pr 0.7500 0.7500 0.7500
Tm 0.2500 0.2500 0.2500
In 0.5000 0.5000 0.5000

=====

Record 6
CePrYIn after structural relaxation, computed with PBE.

* DFT formation energy: -84 meV per atom
* DFT total energy: -20.3 eV/cell
* crystal system: cubic
* calculated density: 6.9 g/cm3

Cell: 5.4897 5.4897 5.4897 Å, 60.00 60.00 60.00°
Element x y z (fractional)
Ce 0.0000 0.0000 0.0000
Pr 0.7500 0.7500 0.7500
Y 0.2500 0.2500 0.2500
In 0.5000 0.5000 0.5000

=====

Record 7
Ce2InPt6 after structural relaxation, computed with PBE.

* DFT formation energy: -841 meV per atom
* DFT total energy: -58.4 eV/cell
* crystal system: trigonal
* calculated density: 14.5 g/cm3

Cell: 5.7306 5.7306 6.2932 Å, 90.00 90.00 120.00°
Element x y z (fractional)
Ce 0.3333 0.6667 0.2994
Ce 0.6667 0.3333 0.7006
In 0.0000 0.0000 0.5000
Pt 0.1743 0.3487 0.8240
Pt 0.1743 0.8257 0.8240
Pt 0.3487 0.1743 0.1760
Pt 0.6513 0.8257 0.8240
Pt 0.8257 0.1743 0.1760
Pt 0.8257 0.6513 0.1760

=====

Record 8
Ce2InPt2 after structural relaxation, computed with PBE.

* DFT formation energy: -1035 meV per atom
* DFT total energy: -63.7 eV/cell
* crystal system: tetragonal
* calculated density: 11.3 g/cm3

Cell: 7.8516 7.8516 3.7577 Å, 90.00 90.00 90.00°
Element x y z (fractional)
Ce 0.1721 0.3279 0.0000
Ce 0.3279 0.8279 0.0000
Ce 0.6721 0.1721 0.0000
Ce 0.8279 0.6721 0.0000
In 0.0000 0.0000 0.5000
In 0.5000 0.5000 0.5000
Pt 0.1312 0.6312 0.5000
Pt 0.3688 0.1312 0.5000
Pt 0.6312 0.8688 0.5000
Pt 0.8688 0.3688 0.5000